VASP calculation (PBE+U) on an optimized crystal structure of V3ReF.

The structure in POSCAR format:
```
V3ReF
1.0
4.240 0.000 0.000
0.000 4.240 0.000
0.000 0.000 4.240
V Re F
3 1 1
direct
0.000 0.000 0.500
0.000 0.500 0.000
0.500 0.000 0.000
0.500 0.500 0.500
0.000 0.000 0.000
```

## Properties
**Final energy**: -6.74 eV per atom
**Symmetry**: Pm-3m, No. 221
**Energy relative to the lowest polymorph listed for this composition**: 0.0000 eV/atom